DFT (GGA+U) results for a geometry-optimized ScFePO2 structure.

Cell: 3.8072 3.8072 4.7581 Å, 90.00 90.00 90.00°
Positions (direct):
Sc (0.0000, 0.0000, 0.0000)
Fe (0.5000, 0.5000, 0.5000)
P (0.5000, 0.5000, 0.0000)
O (0.0000, 0.5000, 0.5000)
O (0.5000, 0.0000, 0.5000)

Summary:
The value obtained for the distance to the lowest polymorph of the same formula is 0 meV per atom.